# 1
Crystalline NaSrBeSe2 at its relaxed geometry, computed with PBE.

It has space group P2/c (No. 13), with a = 6.8977 Å, b = 5.1145 Å, c = 8.6364 Å, α = 90.00°, β = 90.17° and γ = 90.00°. Symmetry generates all atoms from Na at (0.0000, 0.0033, 0.2500), Sr at (0.5000, 0.5003, 0.2500), Be at (0.5000, 0.0000, 0.0000) and Se at (0.2514, 0.2334, 0.9994).

The value obtained for the total energy is -3.561 eV/atom.

# 2
Crystalline Er2TmNi9 at its relaxed geometry, computed with PBE.

It has space group P6_3/mmc (No. 194), with a = 4.9361 Å, b = 4.9361 Å, c = 16.1263 Å, α = 90.00°, β = 90.00° and γ = 120.00°. Symmetry generates all atoms from Er at (0.3333, 0.6667, 0.0419), Tm at (0.3333, 0.6667, 0.2500), Ni at (0.0000, 0.0000, 0.0000), Ni at (0.0000, 0.0000, 0.2500), Ni at (0.1673, 0.3346, 0.6265) and Ni at (0.3333, 0.6667, 0.7500).

The formation energy comes out at -0.437 eV per atom.

| no. | M_tot (μB/f.u.) |
| --- | --- |
| 1 | 0.736 |
| 2 | 0.292 |